1.
Material: DyScAl
Method: DFT, GGA-PBE
State: optimized geometry Values from VASP.

Values from the calculation:
E above lowest polymorph	27	meV/atom
E_form	-0.2627	eV/atom
SG	I4mm
E_tot	-5.155	eV/atom
calculated volume	23.78	Å³/atom

Quantum ESPRESSO input file:
```
&SYSTEM
  ibrav = 0, nat = 6, ntyp = 3
/
ATOMIC_SPECIES
Dy 162.50 Dy.upf
Sc 44.96 Sc.upf
Al 26.98 Al.upf
CELL_PARAMETERS angstrom
3.3127 0.0000 0.0000
0.0000 3.3127 0.0000
0.0000 0.0000 13.0011
ATOMIC_POSITIONS crystal
Dy 0.0000 0.0000 0.0000
Dy 0.5000 0.5000 0.5000
Sc 0.0000 0.0000 0.6970
Sc 0.5000 0.5000 0.1970
Al 0.0000 0.0000 0.3382
Al 0.5000 0.5000 0.8382
```


2.
Material: DySc2Al
Method: DFT, GGA-PBE
State: optimized geometry Values from VASP.

Values from the calculation:
E above lowest polymorph	150	meV/atom
E_form	-0.0710	eV/atom
SG	R3m
E_tot	-5.323	eV/atom
calculated volume	24.47	Å³/atom

Quantum ESPRESSO input file:
```
&SYSTEM
  ibrav = 0, nat = 12, ntyp = 3
/
ATOMIC_SPECIES
Dy 162.50 Dy.upf
Sc 44.96 Sc.upf
Al 26.98 Al.upf
CELL_PARAMETERS angstrom
3.3516 0.0000 0.0000
-1.6758 2.9026 0.0000
0.0000 0.0000 30.1852
ATOMIC_POSITIONS crystal
Dy 0.0000 0.0000 0.0000
Dy 0.3333 0.6667 0.6667
Dy 0.6667 0.3333 0.3333
Sc 0.0000 0.0000 0.2409
Sc 0.0000 0.0000 0.4276
Sc 0.3333 0.6667 0.0942
Sc 0.3333 0.6667 0.9076
Sc 0.6667 0.3333 0.5742
Sc 0.6667 0.3333 0.7609
Al 0.0000 0.0000 0.8345
Al 0.3333 0.6667 0.5011
Al 0.6667 0.3333 0.1678
```


3.
Material: DySc5Al4
Method: DFT, GGA-PBE
State: optimized geometry Values from VASP.

Values from the calculation:
E_form	-0.3533	eV/atom
SG	P4/mmm
E_tot	-5.476	eV/atom
calculated volume	21.05	Å³/atom

Quantum ESPRESSO input file:
```
&SYSTEM
  ibrav = 0, nat = 10, ntyp = 3
/
ATOMIC_SPECIES
Dy 162.50 Dy.upf
Sc 44.96 Sc.upf
Al 26.98 Al.upf
CELL_PARAMETERS angstrom
3.3576 0.0000 0.0000
0.0000 3.3576 0.0000
0.0000 0.0000 18.6685
ATOMIC_POSITIONS crystal
Dy 0.0000 0.0000 0.0000
Sc 0.5000 0.5000 0.1313
Sc 0.5000 0.5000 0.3168
Sc 0.5000 0.5000 0.5000
Sc 0.5000 0.5000 0.6832
Sc 0.5000 0.5000 0.8687
Al 0.0000 0.0000 0.2237
Al 0.0000 0.0000 0.4083
Al 0.0000 0.0000 0.5917
Al 0.0000 0.0000 0.7763
```


4.
Material: Dy8ScAl2
Method: DFT, GGA-PBE
State: optimized geometry Values from VASP.

Values from the calculation:
E_form	0.0030	eV/atom
SG	C2/m
E_tot	-4.600	eV/atom
calculated volume	29.15	Å³/atom

Quantum ESPRESSO input file:
```
&SYSTEM
  ibrav = 0, nat = 11, ntyp = 3
/
ATOMIC_SPECIES
Dy 162.50 Dy.upf
Sc 44.96 Sc.upf
Al 26.98 Al.upf
CELL_PARAMETERS angstrom
4.3663 -7.2957 0.0000
4.3663 7.2957 0.0000
-2.2015 0.0000 5.0326
ATOMIC_POSITIONS crystal
Dy 0.0901 0.3252 0.6134
Dy 0.2178 0.7822 0.0000
Dy 0.3252 0.0901 0.6134
Dy 0.3940 0.3940 0.2024
Dy 0.6060 0.6060 0.7976
Dy 0.6748 0.9099 0.3866
Dy 0.7822 0.2178 0.0000
Dy 0.9099 0.6748 0.3866
Sc 0.0000 0.0000 0.0000
Al 0.3068 0.6932 0.5000
Al 0.6932 0.3068 0.5000
```


5.
Material: DyScAl
Method: DFT, GGA-PBE
State: optimized geometry Values from VASP.

Values from the calculation:
E above lowest polymorph	38	meV/atom
E_form	-0.2521	eV/atom
SG	P-62m
E_tot	-5.144	eV/atom
calculated volume	25.05	Å³/atom

Quantum ESPRESSO input file:
```
&SYSTEM
  ibrav = 0, nat = 9, ntyp = 3
/
ATOMIC_SPECIES
Dy 162.50 Dy.upf
Sc 44.96 Sc.upf
Al 26.98 Al.upf
CELL_PARAMETERS angstrom
7.8253 0.0000 0.0000
-3.9126 6.7769 0.0000
0.0000 0.0000 4.2506
ATOMIC_POSITIONS crystal
Dy 0.0000 0.4055 0.0000
Dy 0.4055 0.0000 0.0000
Dy 0.5945 0.5945 0.0000
Sc 0.0000 0.7459 0.5000
Sc 0.2541 0.2541 0.5000
Sc 0.7459 0.0000 0.5000
Al 0.0000 0.0000 0.0000
Al 0.3333 0.6667 0.5000
Al 0.6667 0.3333 0.5000
```


6.
Material: DySc3Al8
Method: DFT, GGA-PBE
State: optimized geometry Values from VASP.

Values from the calculation:
E above lowest polymorph	6	meV/atom
E_form	-0.4820	eV/atom
SG	P3m1
E_tot	-4.943	eV/atom
calculated volume	18.68	Å³/atom

Quantum ESPRESSO input file:
```
&SYSTEM
  ibrav = 0, nat = 12, ntyp = 3
/
ATOMIC_SPECIES
Dy 162.50 Dy.upf
Sc 44.96 Sc.upf
Al 26.98 Al.upf
CELL_PARAMETERS angstrom
5.4076 0.0000 0.0000
-2.7038 4.6831 0.0000
0.0000 0.0000 8.8525
ATOMIC_POSITIONS crystal
Dy 0.0000 0.0000 0.0000
Sc 0.0000 0.0000 0.3670
Sc 0.6667 0.3333 0.4998
Sc 0.6667 0.3333 0.8614
Al 0.1619 0.3239 0.6798
Al 0.1619 0.8381 0.6798
Al 0.3333 0.6667 0.4346
Al 0.3333 0.6667 0.9321
Al 0.5047 0.0094 0.1873
Al 0.5047 0.4953 0.1873
Al 0.6761 0.8381 0.6798
Al 0.9906 0.4953 0.1873
```


7.
Material: DyScAl4
Method: DFT, GGA-PBE
State: optimized geometry Values from VASP.

Values from the calculation:
E_form	-0.4925	eV/atom
SG	F-43m
E_tot	-4.810	eV/atom
calculated volume	19.23	Å³/atom

Quantum ESPRESSO input file:
```
&SYSTEM
  ibrav = 0, nat = 6, ntyp = 3
/
ATOMIC_SPECIES
Dy 162.50 Dy.upf
Sc 44.96 Sc.upf
Al 26.98 Al.upf
CELL_PARAMETERS angstrom
0.0000 3.8642 3.8642
3.8642 0.0000 3.8642
3.8642 3.8642 0.0000
ATOMIC_POSITIONS crystal
Dy 0.0000 0.0000 0.0000
Sc 0.7500 0.7500 0.7500
Al 0.3751 0.3751 0.3751
Al 0.3751 0.3751 0.8746
Al 0.3751 0.8746 0.3751
Al 0.8746 0.3751 0.3751
```


8.
Material: Dy2ScAl6
Method: DFT, GGA-PBE
State: optimized geometry Values from VASP.

Values from the calculation:
E_form	-0.4753	eV/atom
SG	P6/mmm
E_tot	-4.697	eV/atom
calculated volume	20.11	Å³/atom

Quantum ESPRESSO input file:
```
&SYSTEM
  ibrav = 0, nat = 9, ntyp = 3
/
ATOMIC_SPECIES
Dy 162.50 Dy.upf
Sc 44.96 Sc.upf
Al 26.98 Al.upf
CELL_PARAMETERS angstrom
7.8564 0.0000 0.0000
-3.9282 6.8038 0.0000
0.0000 0.0000 3.3862
ATOMIC_POSITIONS crystal
Dy 0.3333 0.6667 0.0000
Dy 0.6667 0.3333 0.0000
Sc 0.0000 0.0000 0.0000
Al 0.0000 0.3301 0.5000
Al 0.0000 0.6699 0.5000
Al 0.3301 0.0000 0.5000
Al 0.3301 0.3301 0.5000
Al 0.6699 0.0000 0.5000
Al 0.6699 0.6699 0.5000
```


9.
Material: DySc3Al4
Method: DFT, GGA-PBE
State: optimized geometry Values from VASP.

Values from the calculation:
E_form	-0.4257	eV/atom
SG	Pmma
E_tot	-5.247	eV/atom
calculated volume	20.34	Å³/atom

Quantum ESPRESSO input file:
```
&SYSTEM
  ibrav = 0, nat = 16, ntyp = 3
/
ATOMIC_SPECIES
Dy 162.50 Dy.upf
Sc 44.96 Sc.upf
Al 26.98 Al.upf
CELL_PARAMETERS angstrom
9.8225 0.0000 0.0000
0.0000 6.4722 0.0000
0.0000 0.0000 5.1204
ATOMIC_POSITIONS crystal
Dy 0.0000 0.0000 0.0000
Dy 0.5000 0.0000 0.0000
Sc 0.0000 0.5000 0.0000
Sc 0.2500 0.0000 0.4067
Sc 0.2500 0.5000 0.3825
Sc 0.5000 0.5000 0.0000
Sc 0.7500 0.0000 0.5933
Sc 0.7500 0.5000 0.6175
Al 0.0000 0.2656 0.5000
Al 0.0000 0.7344 0.5000
Al 0.2500 0.2652 0.8742
Al 0.2500 0.7348 0.8742
Al 0.5000 0.2656 0.5000
Al 0.5000 0.7344 0.5000
Al 0.7500 0.2652 0.1258
Al 0.7500 0.7348 0.1258
```


10.
Material: Dy2Sc2Al
Method: DFT, GGA-PBE
State: optimized geometry Values from VASP.

Values from the calculation:
E_form	0.3760	eV/atom
SG	R-3m
E_tot	-4.746	eV/atom
calculated volume	32.04	Å³/atom

Quantum ESPRESSO input file:
```
&SYSTEM
  ibrav = 0, nat = 15, ntyp = 3
/
ATOMIC_SPECIES
Dy 162.50 Dy.upf
Sc 44.96 Sc.upf
Al 26.98 Al.upf
CELL_PARAMETERS angstrom
4.6899 0.0000 0.0000
-2.3449 4.0616 0.0000
0.0000 0.0000 25.2304
ATOMIC_POSITIONS crystal
Dy 0.0000 0.0000 0.0677
Dy 0.0000 0.0000 0.9323
Dy 0.3333 0.6667 0.5990
Dy 0.3333 0.6667 0.7344
Dy 0.6667 0.3333 0.2656
Dy 0.6667 0.3333 0.4010
Sc 0.0000 0.0000 0.1961
Sc 0.0000 0.0000 0.8039
Sc 0.3333 0.6667 0.4706
Sc 0.3333 0.6667 0.8628
Sc 0.6667 0.3333 0.1372
Sc 0.6667 0.3333 0.5294
Al 0.0000 0.0000 0.5000
Al 0.3333 0.6667 0.1667
Al 0.6667 0.3333 0.8333
```


11.
Material: DySc5Al2
Method: DFT, GGA-PBE
State: optimized geometry Values from VASP.

Values from the calculation:
E_form	-0.1667	eV/atom
SG	Immm
E_tot	-5.635	eV/atom
calculated volume	23.44	Å³/atom

Quantum ESPRESSO input file:
```
&SYSTEM
  ibrav = 0, nat = 16, ntyp = 3
/
ATOMIC_SPECIES
Dy 162.50 Dy.upf
Sc 44.96 Sc.upf
Al 26.98 Al.upf
CELL_PARAMETERS angstrom
3.3357 0.0000 0.0000
0.0000 9.5834 0.0000
0.0000 0.0000 11.7339
ATOMIC_POSITIONS crystal
Dy 0.0000 0.0000 0.0000
Dy 0.5000 0.5000 0.5000
Sc 0.0000 0.2234 0.3641
Sc 0.0000 0.2234 0.6359
Sc 0.0000 0.5000 0.0000
Sc 0.0000 0.7766 0.3641
Sc 0.0000 0.7766 0.6359
Sc 0.5000 0.0000 0.5000
Sc 0.5000 0.2766 0.1359
Sc 0.5000 0.2766 0.8641
Sc 0.5000 0.7234 0.1359
Sc 0.5000 0.7234 0.8641
Al 0.0000 0.5000 0.2560
Al 0.0000 0.5000 0.7440
Al 0.5000 0.0000 0.2440
Al 0.5000 0.0000 0.7560
```


12.
Material: Dy4ScAl4
Method: DFT, GGA-PBE
State: optimized geometry Values from VASP.

Values from the calculation:
E_form	-0.2001	eV/atom
SG	P4_2/n
E_tot	-4.612	eV/atom
calculated volume	24.03	Å³/atom

Quantum ESPRESSO input file:
```
&SYSTEM
  ibrav = 0, nat = 18, ntyp = 3
/
ATOMIC_SPECIES
Dy 162.50 Dy.upf
Sc 44.96 Sc.upf
Al 26.98 Al.upf
CELL_PARAMETERS angstrom
8.6104 0.0000 0.0000
0.0000 8.6104 0.0000
0.0000 0.0000 5.8345
ATOMIC_POSITIONS crystal
Dy 0.0764 0.8216 0.1217
Dy 0.1784 0.5764 0.6217
Dy 0.3216 0.9236 0.6217
Dy 0.4236 0.6784 0.1217
Dy 0.5764 0.3216 0.8783
Dy 0.6784 0.0764 0.3783
Dy 0.8216 0.4236 0.3783
Dy 0.9236 0.1784 0.8783
Sc 0.2500 0.2500 0.7500
Sc 0.7500 0.7500 0.2500
Al 0.0604 0.1589 0.3660
Al 0.1589 0.4396 0.1340
Al 0.3411 0.0604 0.1340
Al 0.4396 0.3411 0.3660
Al 0.5604 0.6589 0.6340
Al 0.6589 0.9396 0.8660
Al 0.8411 0.5604 0.8660
Al 0.9396 0.8411 0.6340
```